## A
AsPCl2 PBE relaxed; DOS(E_F) = 6.2 states/eV/cell; V = 29.4 Å³ per atom
1.0
-4.962 4.962 2.388
4.962 -4.962 2.388
4.962 4.962 -2.388
As P Cl
2 2 4
Direct
0.375 0.625 0.750
0.625 0.375 0.250
0.125 0.875 0.250
0.875 0.125 0.750
0.000 0.000 0.000
0.000 0.000 0.500
0.000 0.500 0.000
0.500 0.000 0.500


## B
AsPCl2 PBE relaxed; DOS(E_F) = 2.9 states/eV/cell; V = 19.0 Å³ per atom
1.0
2.991 0.000 0.000
0.000 4.261 0.000
0.000 0.000 5.970
As P Cl
1 1 2
Direct
0.000 0.000 0.000
0.000 0.000 0.500
0.500 0.500 0.251
0.500 0.500 0.749


## C
AsPCl2 PBE relaxed; V = 29.2 Å³ per atom
1.0
4.142 0.000 0.000
0.000 3.710 0.000
-0.274 0.000 7.609
As P Cl
1 1 2
Direct
0.000 0.000 0.000
0.615 0.500 0.018
0.609 0.500 0.291
0.998 0.000 0.710


## D
AsPCl2 PBE relaxed; DOS(E_F) = 0.7 states/eV/cell; V = 26.1 Å³ per atom
1.0
7.742 -1.801 0.000
7.742 1.801 0.000
-0.104 0.000 3.739
As P Cl
1 1 2
Direct
0.000 0.000 0.000
0.500 0.500 0.500
0.143 0.143 0.729
0.857 0.857 0.271


Which one is most stable, and which one is least stable? C is the most stable of them, while B is the least stable.


## A
As2PCl PBE relaxed; DOS(E_F) = 1.8 states/eV/cell; V = 26.2 Å³ per atom
1.0
5.084 -1.663 0.000
5.084 1.663 0.000
-1.436 0.000 6.191
As P Cl
2 1 1
Direct
0.000 0.000 0.000
0.730 0.730 0.249
0.322 0.322 0.062
0.514 0.514 0.694


## B
As2PCl PBE relaxed; DOS(E_F) = 0.9 states/eV/cell; V = 21.7 Å³ per atom
1.0
4.006 0.000 0.000
0.000 4.587 0.000
-1.961 0.000 4.733
As P Cl
2 1 1
Direct
0.167 0.000 0.334
0.833 0.000 0.666
0.500 0.500 0.500
0.500 0.500 0.000


Which one is most stable, and which one is least stable? B is the most stable of them, while A is the least stable.


## A
AsPCl PBE relaxed; DOS(E_F) = 0.3 states/eV/cell; V = 26.5 Å³ per atom
1.0
3.666 0.000 0.000
0.000 4.288 0.000
1.798 1.218 10.099
As P Cl
2 2 2
Direct
0.000 0.000 0.000
0.490 0.397 0.020
0.115 0.045 0.765
0.624 0.711 0.747
0.382 0.331 0.241
0.724 0.736 0.543


## B
AsPCl PBE relaxed; DOS(E_F) = 0.6 states/eV/cell; V = 28.5 Å³ per atom
1.0
3.560 0.000 0.000
0.838 3.578 0.000
0.172 0.047 6.720
As P Cl
1 1 1
Direct
0.000 0.000 0.000
0.402 0.384 0.878
0.426 0.410 0.572


Which one is most stable, and which one is least stable? A is the most stable of them, while B is the least stable.


## A
AsPPtCl2 PBE relaxed; DOS(E_F) = 4.3 states/eV/cell; V = 22.9 Å³ per atom
1.0
4.630 0.000 0.000
0.000 4.630 0.000
0.000 0.000 5.337
As P Pt Cl
1 1 1 2
Direct
0.000 0.000 0.000
0.000 0.000 0.500
0.500 0.500 0.500
0.000 0.500 0.000
0.500 0.000 0.000


## B
AsPPtCl2 PBE relaxed; DOS(E_F) = 2.9 states/eV/cell; V = 21.9 Å³ per atom
1.0
4.819 0.000 0.000
0.000 4.819 0.000
0.000 0.000 4.720
As P Pt Cl
1 1 1 2
Direct
0.000 0.000 0.000
0.500 0.500 0.000
0.500 0.500 0.500
0.000 0.500 0.500
0.500 0.000 0.500


Which one is most stable, and which one is least stable? B is the most stable of them, while A is the least stable.


## A
RbAsP2Cl PBE relaxed; DOS(E_F) = 2.6 states/eV/cell; V = 30.9 Å³ per atom
1.0
4.661 0.000 0.000
0.000 4.661 0.000
0.000 0.000 7.105
Rb As P Cl
1 1 2 1
Direct
0.000 0.000 0.000
0.500 0.500 0.500
0.000 0.500 0.500
0.500 0.000 0.500
0.500 0.500 0.000


## B
RbAsP2Cl PBE relaxed; V = 58.0 Å³ per atom
1.0
7.021 0.000 0.000
0.000 7.021 0.000
0.000 0.000 5.887
Rb As P Cl
1 1 2 1
Direct
0.000 0.000 0.000
0.500 0.500 0.500
0.000 0.500 0.000
0.500 0.000 0.000
0.000 0.000 0.500


Which one is most stable, and which one is least stable? A is the most stable of them, while B is the least stable.


## A
ReAsP2Cl PBE relaxed; DOS(E_F) = 2.5 states/eV/cell; V = 21.1 Å³ per atom
1.0
4.774 0.000 0.000
0.000 4.774 0.000
0.000 0.000 4.621
Re As P Cl
1 1 2 1
Direct
0.000 0.000 0.000
0.500 0.500 0.500
0.000 0.500 0.500
0.500 0.000 0.500
0.500 0.500 0.000


## B
ReAsP2Cl PBE relaxed; DOS(E_F) = 4.0 states/eV/cell; V = 21.0 Å³ per atom
1.0
4.611 0.000 0.000
0.000 4.611 0.000
0.000 0.000 4.934
Re As P Cl
1 1 2 1
Direct
0.000 0.000 0.000
0.500 0.500 0.500
0.000 0.500 0.000
0.500 0.000 0.000
0.000 0.000 0.500


Which one is most stable, and which one is least stable? B is the most stable of them, while A is the least stable.